{
  "formula": "CrPd3Br",
  "functional": "PBE-GGA",
  "state": "relaxed",
  "lattice_angstrom": [[-4.434, -1.205, 0.743], [1.411, -3.971, 1.977], [0.122, 2.109, 4.148]],
  "species": ["Pd", "Pd", "Pd", "Cr", "Br"],
  "fractional_positions": [[0.000, 0.000, 0.500], [0.500, 0.000, 0.000], [0.000, 0.500, 0.000], [0.000, 0.000, 0.000], [0.500, 0.500, 0.500]],
  "energy_ev_per_atom": -4.495,
  "spacegroup": "Pm-3m",
  "volume_a3_per_atom": 20.2,
  "mass_density_g_cm3": 7.4,
  "formation_energy_uncorrected_mev_per_atom": 880
}

***

{
  "formula": "BeSb4Ru",
  "functional": "PBE-GGA",
  "state": "relaxed",
  "lattice_angstrom": [[0.000, 4.267, 4.267], [4.267, 0.000, 4.267], [4.267, 4.267, 0.000]],
  "species": ["Sb", "Sb", "Sb", "Sb", "Be", "Ru"],
  "fractional_positions": [[0.874, 0.375, 0.375], [0.375, 0.375, 0.874], [0.375, 0.375, 0.375], [0.375, 0.874, 0.375], [0.750, 0.750, 0.750], [0.000, 0.000, 0.000]],
  "energy_ev_per_atom": -3.693,
  "spacegroup": "F-43m",
  "volume_a3_per_atom": 25.9,
  "mass_density_g_cm3": 6.4,
  "formation_energy_uncorrected_mev_per_atom": 1222
}

***

{
  "formula": "ZnCoNi4",
  "functional": "PBE-GGA",
  "state": "relaxed",
  "lattice_angstrom": [[-1.369, -2.113, 0.254], [0.498, -0.611, -2.404], [8.630, -5.216, 3.112]],
  "species": ["Co", "Ni", "Ni", "Ni", "Ni", "Zn"],
  "fractional_positions": [[0.500, 0.500, 0.500], [0.000, 0.000, 0.337], [0.500, 0.500, 0.827], [0.000, 0.000, 0.663], [0.500, 0.500, 0.173], [0.000, 0.000, 0.000]],
  "energy_ev_per_atom": -5.313,
  "spacegroup": "P4/mmm",
  "volume_a3_per_atom": 11.3,
  "formation_energy_ev_per_atom": -0.06,
  "mass_density_g_cm3": 8.8
}